[1]
VASP calculation (GGA-PBE) on an optimized crystal structure of Dy3ErIn.

a b c (Å): 5.8680 12.2678 8.7652
angles (deg): 90.00 90.00 90.00
Closest atoms and distances in Å follow each position.
Space group Cmcm (No. 63)
Symmetry-distinct sites (fractional):
Dy 0.0000 0.0626 0.2500  2 Er 2.94, 2 Dy 3.12, 1 In 3.17
Dy 0.0000 0.1757 0.5685  3 Dy 3.12-3.33, 3 In 3.31-3.34, 1 Er 3.48
Er 0.0000 0.4278 0.7500  2 Dy 2.94, 1 In 3.08
In 0.0000 0.3210 0.2500  1 Er 3.08, 7 Dy 3.17-3.34

Summary:
DFT formation energy in kcal/mol of atoms: 6.64
VASP energy in eV/atom: -3.93
Energy above the most stable polymorph in this dataset in meV per atom: 475



[2]
VASP calculation (GGA-PBE) on an optimized crystal structure of DyEr2In3.

a b c (Å): 3.5387 3.5387 12.4895
angles (deg): 90.00 90.00 90.00
Closest atoms and distances in Å follow each position.
Space group P4/mmm (No. 123)
Symmetry-distinct sites (fractional):
Dy 0.0000 0.0000 0.0000  8 In 3.27, 4 Dy 3.54
Er 0.0000 0.0000 0.3341  8 In 3.25, 4 Er 3.54
In 0.5000 0.5000 0.1684  4 Er 3.25, 4 Dy 3.27, 4 In 3.54
In 0.5000 0.5000 0.5000  8 Er 3.25, 4 In 3.54

Summary:
DFT formation energy in kcal/mol of atoms: -10.42
VASP energy in eV/atom: -4.11